Entry from Alexandria via LeMat-Bulk: a geometry-optimized La2ZnOsPb structure (GGA-PBE).

Geometry as POSCAR:
```
La2ZnOsPb
1.0
5.466 0.000 0.000
0.000 5.466 0.000
0.000 0.000 4.953
La Zn Os Pb
2 1 1 1
direct
0.000 0.500 0.000 La
0.500 0.000 0.000 La
0.000 0.000 0.500 Zn
0.000 0.000 0.000 Os
0.500 0.500 0.500 Pb
```

Values from the calculation:
SG: P4/mmm, No. 123
Density of states at the Fermi level (states/eV/atom): 1.2440
Size of the total moment (μB/cell): 0.0
E_form (eV per atom): -0.16
Uncorrected energy (eV per atom): -5.373